## ThCu5Ni2 (PBE-GGA)

Data for ThCu5Ni2 after structural relaxation. Values from VASP.

Cell and atoms, written as Quantum ESPRESSO input:
```
&SYSTEM
  ibrav = 0, nat = 8, ntyp = 3
/
ATOMIC_SPECIES
Cu 63.55 Cu.upf
Ni 58.69 Ni.upf
Th 232.04 Th.upf
CELL_PARAMETERS angstrom
3.713 0.000 0.000
1.857 5.656 0.003
1.857 1.042 5.559
ATOMIC_POSITIONS crystal
Cu 0.652 0.524 0.171
Cu 0.348 0.829 0.476
Cu 0.348 0.476 0.829
Cu 0.652 0.171 0.524
Cu 0.000 0.500 0.500
Ni 0.276 0.224 0.224
Ni 0.724 0.776 0.776
Th 0.000 0.000 0.000
```

## Properties
Calculated total energy (eV/cell): -40.3
SG: No. 71
Energy of formation from the pure elements (eV/atom): -0.10

---

## ThCu3Ni2 (PBE-GGA)

Data for ThCu3Ni2 after structural relaxation. Values from VASP.

Cell and atoms, written as Quantum ESPRESSO input:
```
&SYSTEM
  ibrav = 0, nat = 12, ntyp = 3
/
ATOMIC_SPECIES
Cu 63.55 Cu.upf
Ni 58.69 Ni.upf
Th 232.04 Th.upf
CELL_PARAMETERS angstrom
5.874 0.000 0.000
2.937 5.087 0.000
2.937 1.696 6.188
ATOMIC_POSITIONS crystal
Cu 0.727 0.293 0.687
Cu 0.273 0.707 0.313
Cu 0.293 0.293 0.687
Cu 0.707 0.707 0.313
Cu 0.293 0.727 0.687
Cu 0.707 0.273 0.313
Ni 0.500 0.000 0.000
Ni 0.000 0.500 0.000
Ni 0.500 0.500 0.000
Ni 0.000 0.000 0.000
Th 0.225 0.225 0.326
Th 0.775 0.775 0.674
```

## Properties
Calculated total energy (eV/cell): -61.8
SG: No. 166
Energy of formation from the pure elements (eV/atom): 0.06

---

## ThCu10Ni2 (PBE-GGA)

Data for ThCu10Ni2 after structural relaxation. Values from VASP.

Cell and atoms, written as Quantum ESPRESSO input:
```
&SYSTEM
  ibrav = 0, nat = 13, ntyp = 3
/
ATOMIC_SPECIES
Cu 63.55 Cu.upf
Th 232.04 Th.upf
Ni 58.69 Ni.upf
CELL_PARAMETERS angstrom
4.872 0.000 0.000
2.436 5.884 0.000
2.436 0.000 6.075
ATOMIC_POSITIONS crystal
Cu 0.500 0.775 0.225
Cu 0.275 0.225 0.225
Cu 0.994 0.360 0.651
Cu 0.000 0.000 0.500
Cu 0.500 0.000 0.500
Cu 0.355 0.640 0.651
Cu 0.500 0.225 0.775
Cu 0.006 0.640 0.349
Cu 0.645 0.360 0.349
Cu 0.725 0.775 0.775
Th 0.000 0.000 0.000
Ni 0.500 0.500 0.000
Ni 0.000 0.500 0.000
```

## Properties
Calculated total energy (eV/cell): -61.2
SG: No. 69
Energy of formation from the pure elements (eV/atom): -0.10

---

## Th2Cu3Ni2 (PBE-GGA)

Data for Th2Cu3Ni2 after structural relaxation. Values from VASP.

Cell and atoms, written as Quantum ESPRESSO input:
```
&SYSTEM
  ibrav = 0, nat = 7, ntyp = 3
/
ATOMIC_SPECIES
Ni 58.69 Ni.upf
Cu 63.55 Cu.upf
Th 232.04 Th.upf
CELL_PARAMETERS angstrom
4.007 0.000 0.000
-2.003 4.759 -0.092
0.000 -1.227 6.479
ATOMIC_POSITIONS crystal
Ni 0.909 0.818 0.333
Ni 0.091 0.182 0.667
Cu 0.299 0.598 0.113
Cu 0.701 0.402 0.887
Cu 0.000 0.000 0.000
Th 0.380 0.760 0.678
Th 0.620 0.240 0.322
```

## Properties
Calculated total energy (eV/cell): -40.4
SG: No. 12
Energy of formation from the pure elements (eV/atom): -0.24

---

## Th3Cu3Ni2 (PBE-GGA)

Data for Th3Cu3Ni2 after structural relaxation. Values from VASP.

Cell and atoms, written as Quantum ESPRESSO input:
```
&SYSTEM
  ibrav = 0, nat = 16, ntyp = 3
/
ATOMIC_SPECIES
Cu 63.55 Cu.upf
Ni 58.69 Ni.upf
Th 232.04 Th.upf
CELL_PARAMETERS angstrom
4.108 0.000 0.000
-2.054 5.153 0.000
0.000 0.000 15.244
ATOMIC_POSITIONS crystal
Cu 0.409 0.819 0.948
Cu 0.335 0.669 0.250
Cu 0.591 0.181 0.052
Cu 0.665 0.331 0.750
Cu 0.591 0.181 0.448
Cu 0.409 0.819 0.552
Ni 0.183 0.367 0.382
Ni 0.817 0.633 0.882
Ni 0.817 0.633 0.618
Ni 0.183 0.367 0.118
Th 0.121 0.241 0.590
Th 0.121 0.241 0.910
Th 0.879 0.759 0.410
Th 0.380 0.760 0.750
Th 0.879 0.759 0.090
Th 0.620 0.240 0.250
```

## Properties
Calculated total energy (eV/cell): -96.7
SG: No. 63
Energy of formation from the pure elements (eV/atom): -0.28

---

## Th3Cu4Ni4 (PBE-GGA)

Data for Th3Cu4Ni4 after structural relaxation. Values from VASP.

Cell and atoms, written as Quantum ESPRESSO input:
```
&SYSTEM
  ibrav = 0, nat = 11, ntyp = 3
/
ATOMIC_SPECIES
Cu 63.55 Cu.upf
Ni 58.69 Ni.upf
Th 232.04 Th.upf
CELL_PARAMETERS angstrom
-1.087 -2.931 -2.083
3.322 -1.844 0.862
-4.689 -7.815 9.984
ATOMIC_POSITIONS crystal
Cu 0.404 0.898 0.197
Cu 0.750 0.750 0.501
Cu 0.596 0.102 0.803
Cu 0.250 0.250 0.499
Ni 0.456 0.451 0.091
Ni 0.544 0.549 0.909
Ni 0.311 0.808 0.381
Ni 0.689 0.192 0.619
Th 0.148 0.653 0.700
Th 0.000 0.000 0.000
Th 0.852 0.347 0.300
```

## Properties
Calculated total energy (eV/cell): -65.0
SG: No. 2
Energy of formation from the pure elements (eV/atom): -0.30

---

## Th2Cu15Ni2 (PBE-GGA)

Data for Th2Cu15Ni2 after structural relaxation. Values from VASP.

Cell and atoms, written as Quantum ESPRESSO input:
```
&SYSTEM
  ibrav = 0, nat = 19, ntyp = 3
/
ATOMIC_SPECIES
Cu 63.55 Cu.upf
Ni 58.69 Ni.upf
Th 232.04 Th.upf
CELL_PARAMETERS angstrom
6.474 -0.071 -0.063
0.769 6.428 -0.063
0.769 0.675 6.393
ATOMIC_POSITIONS crystal
Cu 0.288 0.712 0.000
Cu 0.653 0.155 0.653
Cu 0.155 0.653 0.653
Cu 0.000 0.500 0.000
Cu 0.000 0.288 0.712
Cu 0.347 0.347 0.845
Cu 0.000 0.000 0.500
Cu 0.653 0.653 0.155
Cu 0.000 0.712 0.288
Cu 0.500 0.000 0.000
Cu 0.712 0.288 0.000
Cu 0.347 0.845 0.347
Cu 0.712 0.000 0.288
Cu 0.845 0.347 0.347
Cu 0.288 0.000 0.712
Ni 0.101 0.101 0.101
Ni 0.899 0.899 0.899
Th 0.668 0.668 0.668
Th 0.332 0.332 0.332
```

## Properties
Calculated total energy (eV/cell): -89.9
SG: No. 166
Energy of formation from the pure elements (eV/atom): -0.11

---

## ThCuNi2 (PBE-GGA)

Data for ThCuNi2 after structural relaxation. Values from VASP.

Cell and atoms, written as Quantum ESPRESSO input:
```
&SYSTEM
  ibrav = 0, nat = 4, ntyp = 3
/
ATOMIC_SPECIES
Cu 63.55 Cu.upf
Ni 58.69 Ni.upf
Th 232.04 Th.upf
CELL_PARAMETERS angstrom
3.642 0.000 0.000
0.000 4.639 -0.513
0.000 -1.595 4.386
ATOMIC_POSITIONS crystal
Cu 0.500 0.445 0.555
Ni 0.500 0.445 0.055
Ni 0.500 0.945 0.555
Th 0.000 0.945 0.055
```

## Properties
Calculated total energy (eV/cell): -23.7
SG: No. 65
Energy of formation from the pure elements (eV/atom): -0.17

---

## Th5Cu2Ni5 (PBE-GGA)

Data for Th5Cu2Ni5 after structural relaxation. Values from VASP.

Cell and atoms, written as Quantum ESPRESSO input:
```
&SYSTEM
  ibrav = 0, nat = 12, ntyp = 3
/
ATOMIC_SPECIES
Cu 63.55 Cu.upf
Ni 58.69 Ni.upf
Th 232.04 Th.upf
CELL_PARAMETERS angstrom
3.728 0.000 0.841
1.867 7.340 0.408
-0.059 -0.504 8.944
ATOMIC_POSITIONS crystal
Cu 0.615 0.530 0.239
Cu 0.385 0.470 0.761
Ni 0.058 0.722 0.162
Ni 0.000 0.000 0.000
Ni 0.701 0.229 0.369
Ni 0.299 0.771 0.631
Ni 0.942 0.278 0.838
Th 0.000 0.500 0.500
Th 0.370 0.936 0.324
Th 0.320 0.284 0.076
Th 0.680 0.716 0.924
Th 0.630 0.064 0.676
```

## Properties
Calculated total energy (eV/cell): -78.2
SG: No. 12
Energy of formation from the pure elements (eV/atom): -0.33

---

## ThCu3Ni (PBE-GGA)

Data for ThCu3Ni after structural relaxation. Values from VASP.

Cell and atoms, written as Quantum ESPRESSO input:
```
&SYSTEM
  ibrav = 0, nat = 10, ntyp = 3
/
ATOMIC_SPECIES
Cu 63.55 Cu.upf
Th 232.04 Th.upf
Ni 58.69 Ni.upf
CELL_PARAMETERS angstrom
4.914 0.000 0.000
0.000 4.914 0.000
-2.457 -2.457 7.860
ATOMIC_POSITIONS crystal
Cu 0.714 0.714 0.429
Cu 0.129 0.384 0.259
Cu 0.125 0.871 0.741
Cu 0.129 0.875 0.259
Cu 0.286 0.286 0.571
Cu 0.616 0.871 0.741
Th 0.925 0.425 0.850
Th 0.575 0.075 0.150
Ni 0.250 0.750 0.500
Ni 0.000 0.000 0.000
```

## Properties
Calculated total energy (eV/cell): -49.3
SG: No. 119
Energy of formation from the pure elements (eV/atom): 0.16

---

## Th4CuNi (PBE-GGA)

Data for Th4CuNi after structural relaxation. Values from VASP.

Cell and atoms, written as Quantum ESPRESSO input:
```
&SYSTEM
  ibrav = 0, nat = 12, ntyp = 3
/
ATOMIC_SPECIES
Ni 58.69 Ni.upf
Cu 63.55 Cu.upf
Th 232.04 Th.upf
CELL_PARAMETERS angstrom
-3.479 1.274 -4.468
-1.936 -6.933 -0.469
-5.440 1.209 4.581
ATOMIC_POSITIONS crystal
Ni 0.250 0.500 0.500
Ni 0.750 0.500 0.500
Cu 0.750 0.000 0.000
Cu 0.250 0.000 0.000
Th 0.000 0.831 0.341
Th 0.000 0.659 0.831
Th 0.000 0.169 0.659
Th 0.500 0.169 0.341
Th 0.000 0.341 0.169
Th 0.500 0.341 0.831
Th 0.500 0.659 0.169
Th 0.500 0.831 0.659
```

## Properties
Calculated total energy (eV/cell): -81.3
SG: No. 124
Energy of formation from the pure elements (eV/atom): -0.18

---

## TmThCuNi (PBE-GGA)

Data for TmThCuNi after structural relaxation. Values from VASP.

Cell and atoms, written as Quantum ESPRESSO input:
```
&SYSTEM
  ibrav = 0, nat = 4, ntyp = 4
/
ATOMIC_SPECIES
Tm 168.93 Tm.upf
Th 232.04 Th.upf
Cu 63.55 Cu.upf
Ni 58.69 Ni.upf
CELL_PARAMETERS angstrom
3.664 0.000 0.000
0.000 4.291 0.000
-1.832 0.000 5.402
ATOMIC_POSITIONS crystal
Tm 0.138 0.000 0.276
Th 0.865 0.500 0.730
Cu 0.579 0.500 0.159
Ni 0.418 0.000 0.835
```

## Properties
Calculated total energy (eV/cell): -23.2
SG: No. 38
Energy of formation from the pure elements (eV/atom): -0.35